Material: Pr5Cu2Ag
Method: DFT, PBE
State: relaxed

a b c (Å): 7.4229 7.4229 9.6736
angles (deg): 112.56 112.56 90.00
Atoms (fractional coordinates):
Pr: 0.8117 0.9818 0.2935
Pr: 0.3117 0.8117 0.2935
Pr: 0.1883 0.0182 0.7065
Pr: 0.0000 0.0000 0.0000
Pr: 0.6883 0.1883 0.7065
Pr: 0.0182 0.5182 0.7065
Pr: 0.5182 0.6883 0.7065
Pr: 0.4818 0.3117 0.2935
Pr: 0.5000 0.5000 0.0000
Pr: 0.9818 0.4818 0.2935
Cu: 0.3807 0.8807 0.0000
Cu: 0.6193 0.1193 0.0000
Cu: 0.1193 0.3807 0.0000
Cu: 0.8807 0.6193 0.0000
Ag: 0.7500 0.7500 0.5000
Ag: 0.2500 0.2500 0.5000

SG = I4/mcm
calculated formation energy = -0.100 eV/atom
calculated volume = 27.983 A^3/atom
mass density = 6969 kg/m3